[1]
Compound: TlCl2
Source: the Alexandria database
Functional: PBEsol
Structure: optimized geometry

Results
calculated volume: 30.1 Å³ per atom
total energy: -2.9789 eV per atom

Lattice parameters (Å, degrees): 8.997 8.997 8.997 134.75 134.75 65.92
Element x y z (fractional)
1 Tl 0.125 0.375 0.750
2 Tl 0.375 0.125 0.250
3 Tl 0.625 0.875 0.750
4 Tl 0.875 0.625 0.250
5 Cl 0.117 0.791 0.836
6 Cl 0.218 0.383 0.174
7 Cl 0.291 0.956 0.674
8 Cl 0.456 0.282 0.664
9 Cl 0.544 0.718 0.336
10 Cl 0.709 0.044 0.326
11 Cl 0.782 0.617 0.826
12 Cl 0.883 0.209 0.164

---

[2]
Compound: Tl2Cl
Source: the Alexandria database
Functional: PBEsol
Structure: optimized geometry

Results
ΔE to the lowest computed polymorph: 10 meV per atom
calculated volume: 27.9 Å³ per atom
total energy: -2.8347 eV per atom

Lattice parameters (Å, degrees): 5.505 5.505 6.369 90.00 90.00 120.00
Element x y z (fractional)
1 Tl 0.000 0.000 0.000
2 Tl 0.000 0.000 0.500
3 Tl 0.333 0.667 0.250
4 Tl 0.667 0.333 0.750
5 Cl 0.333 0.667 0.750
6 Cl 0.667 0.333 0.250

---

- calculated volume of number 1 (TlCl2)?
  30.1 Å³ per atom

---

- Look up the total energy of the second one.
  -2.8347 eV per atom

---

- Which of these has the lowest total energy?
  TlCl2

---

- Which formula does entry 2 have?
  Tl2Cl